[1]
Entry from the Alexandria database: an optimized crystal structure of NbGePt2Au (GGA-PBE).

Energy (eV per formula unit): -26.69

```
data_NbGePt2Au
_cell_length_a 4.6107
_cell_length_b 4.6107
_cell_length_c 4.8236
_cell_angle_alpha 90.00
_cell_angle_beta 90.00
_cell_angle_gamma 90.00
_space_group_name_H-M_alt 'P 1'
_space_group_IT_number 1
loop_
_space_group_symop_operation_xyz
'x,y,z'
loop_
_atom_site_label
_atom_site_type_symbol
_atom_site_fract_x
_atom_site_fract_y
_atom_site_fract_z
_atom_site_occupancy
Nb1 Nb 0.0000 0.0000 0.0000 1
Ge1 Ge 0.0000 0.0000 0.5000 1
Pt1 Pt 0.0000 0.5000 0.5000 1
Pt2 Pt 0.5000 0.0000 0.5000 1
Au1 Au 0.5000 0.5000 0.0000 1
```

[2]
Entry from the Alexandria database: an optimized crystal structure of NbGeRuAu2 (GGA-PBE).

Energy (eV per formula unit): -25.30

```
data_NbGeRuAu2
_cell_length_a 5.0516
_cell_length_b 5.0516
_cell_length_c 4.4945
_cell_angle_alpha 90.00
_cell_angle_beta 90.00
_cell_angle_gamma 90.00
_space_group_name_H-M_alt 'P 1'
_space_group_IT_number 1
loop_
_space_group_symop_operation_xyz
'x,y,z'
loop_
_atom_site_label
_atom_site_type_symbol
_atom_site_fract_x
_atom_site_fract_y
_atom_site_fract_z
_atom_site_occupancy
Nb1 Nb 0.0000 0.0000 0.0000 1
Ge1 Ge 0.5000 0.5000 0.0000 1
Ru1 Ru 0.5000 0.5000 0.5000 1
Au1 Au 0.0000 0.5000 0.5000 1
Au2 Au 0.5000 0.0000 0.5000 1
```

[3]
Entry from the Alexandria database: an optimized crystal structure of Nb2GeAu2Se4 (GGA-PBE).

ΔE_f (raw) (kJ/mol of atoms): -46.9

```
data_Nb2GeAu2Se4
_cell_length_a 3.4681
_cell_length_b 3.4681
_cell_length_c 19.0838
_cell_angle_alpha 90.00
_cell_angle_beta 90.00
_cell_angle_gamma 120.00
_space_group_name_H-M_alt 'P 1'
_space_group_IT_number 1
loop_
_space_group_symop_operation_xyz
'x,y,z'
loop_
_atom_site_label
_atom_site_type_symbol
_atom_site_fract_x
_atom_site_fract_y
_atom_site_fract_z
_atom_site_occupancy
Nb1 Nb 0.0000 0.0000 0.0000 1
Nb2 Nb 0.3333 0.6667 0.3592 1
Ge1 Ge 0.3333 0.6667 0.6778 1
Au1 Au 0.0000 0.0000 0.5840 1
Au2 Au 0.0000 0.0000 0.7684 1
Se1 Se 0.0000 0.0000 0.2709 1
Se2 Se 0.0000 0.0000 0.4468 1
Se3 Se 0.3333 0.6667 0.0882 1
Se4 Se 0.3333 0.6667 0.9107 1
```

[4]
Entry from the Alexandria database: an optimized crystal structure of SrNbGe2Au (GGA-PBE).

Energy (eV per formula unit): -15.78

```
data_SrNbGe2Au
_cell_length_a 5.2887
_cell_length_b 5.2887
_cell_length_c 5.2460
_cell_angle_alpha 90.00
_cell_angle_beta 90.00
_cell_angle_gamma 90.00
_space_group_name_H-M_alt 'P 1'
_space_group_IT_number 1
loop_
_space_group_symop_operation_xyz
'x,y,z'
loop_
_atom_site_label
_atom_site_type_symbol
_atom_site_fract_x
_atom_site_fract_y
_atom_site_fract_z
_atom_site_occupancy
Sr1 Sr 0.0000 0.0000 0.0000 1
Nb1 Nb 0.5000 0.5000 0.5000 1
Ge1 Ge 0.0000 0.5000 0.0000 1
Ge2 Ge 0.5000 0.0000 0.0000 1
Au1 Au 0.0000 0.0000 0.5000 1
```

[5]
Entry from the Alexandria database: an optimized crystal structure of TiNbGe2Au (GGA-PBE).

Energy (eV per formula unit): -26.91

```
data_TiNbGe2Au
_cell_length_a 4.8416
_cell_length_b 4.8416
_cell_length_c 4.6841
_cell_angle_alpha 90.00
_cell_angle_beta 90.00
_cell_angle_gamma 90.00
_space_group_name_H-M_alt 'P 1'
_space_group_IT_number 1
loop_
_space_group_symop_operation_xyz
'x,y,z'
loop_
_atom_site_label
_atom_site_type_symbol
_atom_site_fract_x
_atom_site_fract_y
_atom_site_fract_z
_atom_site_occupancy
Ti1 Ti 0.0000 0.0000 0.0000 1
Nb1 Nb 0.0000 0.0000 0.5000 1
Ge1 Ge 0.0000 0.5000 0.0000 1
Ge2 Ge 0.5000 0.0000 0.0000 1
Au1 Au 0.5000 0.5000 0.5000 1
```

[6]
Entry from the Alexandria database: an optimized crystal structure of Nd2GeAu (GGA-PBE).

Energy (eV per formula unit): -20.56

```
data_Nd2GeAu
_cell_length_a 6.1168
_cell_length_b 4.4692
_cell_length_c 8.2953
_cell_angle_alpha 90.00
_cell_angle_beta 111.07
_cell_angle_gamma 90.00
_space_group_name_H-M_alt 'P 1'
_space_group_IT_number 1
loop_
_space_group_symop_operation_xyz
'x,y,z'
loop_
_atom_site_label
_atom_site_type_symbol
_atom_site_fract_x
_atom_site_fract_y
_atom_site_fract_z
_atom_site_occupancy
Nd1 Nd 0.2198 0.2500 0.4258 1
Nd2 Nd 0.2214 0.2500 0.9323 1
Nd3 Nd 0.7786 0.7500 0.0677 1
Nd4 Nd 0.7802 0.7500 0.5742 1
Ge1 Ge 0.3234 0.7500 0.7072 1
Ge2 Ge 0.6766 0.2500 0.2928 1
Au1 Au 0.3417 0.7500 0.2098 1
Au2 Au 0.6583 0.2500 0.7902 1
```

[7]
Entry from the Alexandria database: an optimized crystal structure of NdGe2Au6 (GGA-PBE).

Energy (eV per formula unit): -36.28

```
data_NdGe2Au6
_cell_length_a 4.4877
_cell_length_b 4.4877
_cell_length_c 8.8509
_cell_angle_alpha 90.00
_cell_angle_beta 90.00
_cell_angle_gamma 90.00
_space_group_name_H-M_alt 'P 1'
_space_group_IT_number 1
loop_
_space_group_symop_operation_xyz
'x,y,z'
loop_
_atom_site_label
_atom_site_type_symbol
_atom_site_fract_x
_atom_site_fract_y
_atom_site_fract_z
_atom_site_occupancy
Nd1 Nd 0.0000 0.0000 0.0000 1
Ge1 Ge 0.5000 0.5000 0.1394 1
Ge2 Ge 0.5000 0.5000 0.8606 1
Au1 Au 0.0000 0.0000 0.5000 1
Au2 Au 0.0000 0.5000 0.2839 1
Au3 Au 0.0000 0.5000 0.7161 1
Au4 Au 0.5000 0.0000 0.2839 1
Au5 Au 0.5000 0.0000 0.7161 1
Au6 Au 0.5000 0.5000 0.5000 1
```

[8]
Entry from the Alexandria database: an optimized crystal structure of Nd2Ge7Au12 (GGA-PBE).

Energy (eV per formula unit): -86.10

```
data_Nd2Ge7Au12
_cell_length_a 10.2095
_cell_length_b 10.2095
_cell_length_c 4.7002
_cell_angle_alpha 90.00
_cell_angle_beta 90.00
_cell_angle_gamma 120.00
_space_group_name_H-M_alt 'P 1'
_space_group_IT_number 1
loop_
_space_group_symop_operation_xyz
'x,y,z'
loop_
_atom_site_label
_atom_site_type_symbol
_atom_site_fract_x
_atom_site_fract_y
_atom_site_fract_z
_atom_site_occupancy
Nd1 Nd 0.3333 0.6667 0.2279 1
Nd2 Nd 0.6667 0.3333 0.7721 1
Ge1 Ge 0.0000 0.0000 0.5000 1
Ge2 Ge 0.1130 0.7245 0.6697 1
Ge3 Ge 0.2755 0.3885 0.6697 1
Ge4 Ge 0.3885 0.1130 0.3303 1
Ge5 Ge 0.6115 0.8870 0.6697 1
Ge6 Ge 0.7245 0.6115 0.3303 1
Ge7 Ge 0.8870 0.2755 0.3303 1
Au1 Au 0.0683 0.4604 0.7721 1
Au2 Au 0.1271 0.2666 0.1785 1
Au3 Au 0.1395 0.8729 0.1785 1
Au4 Au 0.2666 0.1395 0.8215 1
Au5 Au 0.3921 0.9317 0.7721 1
Au6 Au 0.4604 0.3921 0.2279 1
Au7 Au 0.5396 0.6079 0.7721 1
Au8 Au 0.6079 0.0683 0.2279 1
Au9 Au 0.7334 0.8605 0.1785 1
Au10 Au 0.8605 0.1271 0.8215 1
Au11 Au 0.8729 0.7334 0.8215 1
Au12 Au 0.9317 0.5396 0.2279 1
```

[9]
Entry from the Alexandria database: an optimized crystal structure of Nd7Ge5Au (GGA-PBE).

Energy (eV per formula unit): -66.78

```
data_Nd7Ge5Au
_cell_length_a 8.1647
_cell_length_b 8.1647
_cell_length_c 8.1647
_cell_angle_alpha 134.83
_cell_angle_beta 93.76
_cell_angle_gamma 103.26
_space_group_name_H-M_alt 'P 1'
_space_group_IT_number 1
loop_
_space_group_symop_operation_xyz
'x,y,z'
loop_
_atom_site_label
_atom_site_type_symbol
_atom_site_fract_x
_atom_site_fract_y
_atom_site_fract_z
_atom_site_occupancy
Nd1 Nd 0.0000 0.0000 0.0000 1
Nd2 Nd 0.0045 0.6906 0.3139 1
Nd3 Nd 0.3768 0.6906 0.6861 1
Nd4 Nd 0.4085 0.4085 0.0000 1
Nd5 Nd 0.4612 0.1287 0.3324 1
Nd6 Nd 0.7963 0.1287 0.6676 1
Nd7 Nd 0.8715 0.3715 0.5000 1
Ge1 Ge 0.1558 0.2068 0.5277 1
Ge2 Ge 0.1558 0.6281 0.9490 1
Ge3 Ge 0.3976 0.8976 0.5000 1
Ge4 Ge 0.6791 0.2068 0.0510 1
Ge5 Ge 0.6791 0.6281 0.4723 1
Au1 Au 0.7057 0.7057 0.0000 1
```

[10]
Entry from the Alexandria database: an optimized crystal structure of Nd2Ge3Au6 (GGA-PBE).

Energy (eV per formula unit): -48.36

```
data_Nd2Ge3Au6
_cell_length_a 7.8250
_cell_length_b 7.8250
_cell_length_c 4.4419
_cell_angle_alpha 90.00
_cell_angle_beta 90.00
_cell_angle_gamma 120.00
_space_group_name_H-M_alt 'P 1'
_space_group_IT_number 1
loop_
_space_group_symop_operation_xyz
'x,y,z'
loop_
_atom_site_label
_atom_site_type_symbol
_atom_site_fract_x
_atom_site_fract_y
_atom_site_fract_z
_atom_site_occupancy
Nd1 Nd 0.3333 0.6667 0.0000 1
Nd2 Nd 0.6667 0.3333 0.0000 1
Ge1 Ge 0.0000 0.6387 0.5000 1
Ge2 Ge 0.3613 0.3613 0.5000 1
Ge3 Ge 0.6387 0.0000 0.5000 1
Au1 Au 0.0000 0.3179 0.5000 1
Au2 Au 0.0000 0.7909 0.0000 1
Au3 Au 0.2091 0.2091 0.0000 1
Au4 Au 0.3179 0.0000 0.5000 1
Au5 Au 0.6821 0.6821 0.5000 1
Au6 Au 0.7909 0.0000 0.0000 1
```

[11]
Entry from the Alexandria database: an optimized crystal structure of Nd4GeAu3 (GGA-PBE).

Energy (eV per formula unit): -39.79

```
data_Nd4GeAu3
_cell_length_a 4.0741
_cell_length_b 4.6261
_cell_length_c 11.2552
_cell_angle_alpha 90.00
_cell_angle_beta 90.00
_cell_angle_gamma 90.00
_space_group_name_H-M_alt 'P 1'
_space_group_IT_number 1
loop_
_space_group_symop_operation_xyz
'x,y,z'
loop_
_atom_site_label
_atom_site_type_symbol
_atom_site_fract_x
_atom_site_fract_y
_atom_site_fract_z
_atom_site_occupancy
Nd1 Nd 0.0000 0.0000 0.0000 1
Nd2 Nd 0.0000 0.5000 0.2726 1
Nd3 Nd 0.5000 0.0000 0.4935 1
Nd4 Nd 0.5000 0.5000 0.7730 1
Ge1 Ge 0.5000 0.0000 0.2230 1
Au1 Au 0.0000 0.0000 0.7221 1
Au2 Au 0.0000 0.5000 0.5521 1
Au3 Au 0.5000 0.5000 0.0500 1
```

[12]
Entry from the Alexandria database: an optimized crystal structure of Nd3Ge4Au2 (GGA-PBE).

Energy (eV per formula unit): -46.35

```
data_Nd3Ge4Au2
_cell_length_a 6.0152
_cell_length_b 6.0152
_cell_length_c 8.5617
_cell_angle_alpha 101.82
_cell_angle_beta 101.82
_cell_angle_gamma 43.45
_space_group_name_H-M_alt 'P 1'
_space_group_IT_number 1
loop_
_space_group_symop_operation_xyz
'x,y,z'
loop_
_atom_site_label
_atom_site_type_symbol
_atom_site_fract_x
_atom_site_fract_y
_atom_site_fract_z
_atom_site_occupancy
Nd1 Nd 0.0000 0.0000 0.0000 1
Nd2 Nd 0.3372 0.3372 0.3285 1
Nd3 Nd 0.6628 0.6628 0.6715 1
Ge1 Ge 0.0530 0.0530 0.3852 1
Ge2 Ge 0.2835 0.2835 0.9536 1
Ge3 Ge 0.7165 0.7165 0.0464 1
Ge4 Ge 0.9470 0.9470 0.6148 1
Au1 Au 0.3825 0.3825 0.7148 1
Au2 Au 0.6175 0.6175 0.2852 1
```